[1]
Crystalline KPt2Cl at its relaxed geometry. Source: Alexandria, functional PBE.

The structure in POSCAR format:
```
KPt2Cl
1.0
3.8125 0.0000 0.0000
0.0000 3.8125 0.0000
0.0000 0.0000 6.8850
K Pt Cl
1 2 1
direct
0.0000 0.0000 0.0000
0.0000 0.5000 0.5000
0.5000 0.0000 0.5000
0.5000 0.5000 0.0000
```

Summary:
The density of states at the Fermi level comes out at 1.37 states/eV per atom. As for the crystal system: tetragonal. For the uncorrected formation energy, the calculation gives 0.029 eV/atom.

=====

[2]
Crystalline KPt2Cl at its relaxed geometry. Source: Alexandria, functional PBE.

The structure in POSCAR format:
```
KPt2Cl
1.0
2.0847 1.2036 6.9284
-2.0847 1.2036 6.9284
0.0000 -2.4073 6.9284
K Pt Cl
1 2 1
direct
0.0000 0.0000 0.0000
0.4867 0.4867 0.4867
0.7859 0.7859 0.7859
0.2444 0.2444 0.2444
```

Summary:
The density of states at the Fermi level comes out at 1.26 states/eV per atom. As for the crystal system: trigonal. For the uncorrected formation energy, the calculation gives -0.099 eV/atom.

=====

[3]
Crystalline KPt2Cl at its relaxed geometry. Source: Alexandria, functional PBE.

The structure in POSCAR format:
```
KPt2Cl
1.0
-2.7279 2.7279 7.6178
2.7279 -2.7279 7.6178
2.7279 2.7279 -7.6178
K Pt Cl
2 4 2
direct
0.3750 0.6250 0.7500
0.6250 0.3750 0.2500
0.0000 0.0000 0.0000
0.0000 0.0000 0.5000
0.0000 0.5000 0.0000
0.5000 0.0000 0.5000
0.1250 0.8750 0.2500
0.8750 0.1250 0.7500
```

Summary:
The density of states at the Fermi level comes out at 0.42 states/eV per atom. As for the crystal system: tetragonal. For the uncorrected formation energy, the calculation gives 0.088 eV/atom.

=====

[4]
Crystalline K2PtCl at its relaxed geometry. Source: Alexandria, functional PBE.

The structure in POSCAR format:
```
K2PtCl
1.0
3.4410 0.0000 0.0000
0.0000 3.4410 0.0000
0.0000 0.0000 8.6866
K Pt Cl
2 1 1
direct
0.0000 0.0000 0.2277
0.0000 0.0000 0.7723
0.5000 0.5000 0.5000
0.5000 0.5000 0.0000
```

Summary:
The density of states at the Fermi level comes out at 0.76 states/eV per atom. As for the crystal system: tetragonal. For the uncorrected formation energy, the calculation gives -0.673 eV/atom.

=====

[5]
Crystalline KPtCl at its relaxed geometry. Source: Alexandria, functional PBE.

The structure in POSCAR format:
```
KPtCl
1.0
4.5096 0.0000 0.0000
2.1850 5.2645 0.0000
0.0112 0.1992 7.8860
K Pt Cl
2 2 2
direct
0.0000 0.0000 0.0000
0.3220 0.3380 0.3885
0.6835 0.6212 0.1454
0.7129 0.5589 0.8251
0.2584 0.4656 0.7846
0.6268 0.7414 0.4261
```

Summary:
The density of states at the Fermi level comes out at 0.23 states/eV per atom. As for the crystal system: triclinic. For the uncorrected formation energy, the calculation gives -0.552 eV/atom.

=====

[6]
Crystalline KPt2Cl at its relaxed geometry. Source: Alexandria, functional PBE.

The structure in POSCAR format:
```
KPt2Cl
1.0
2.8090 0.0000 0.0000
0.0000 4.3071 0.0000
0.0000 0.0000 8.2736
K Pt Cl
1 2 1
direct
0.0000 0.0000 0.0000
0.0000 0.0000 0.3956
0.5000 0.5000 0.3333
0.5000 0.5000 0.8086
```

Summary:
The density of states at the Fermi level comes out at 0.73 states/eV per atom. As for the crystal system: orthorhombic. For the uncorrected formation energy, the calculation gives -0.262 eV/atom.

=====

[7]
Crystalline KPt2Cl at its relaxed geometry. Source: Alexandria, functional PBE.

The structure in POSCAR format:
```
KPt2Cl
1.0
-1.9065 1.9065 6.8992
1.9065 -1.9065 6.8992
1.9065 1.9065 -6.8992
K Pt Cl
1 2 1
direct
0.0000 0.0000 0.0000
0.2500 0.7500 0.5000
0.7500 0.2500 0.5000
0.5000 0.5000 0.0000
```

Summary:
The density of states at the Fermi level comes out at 1.21 states/eV per atom. As for the crystal system: tetragonal. For the uncorrected formation energy, the calculation gives 0.027 eV/atom.

=====

[8]
Crystalline K2PtCl6 at its relaxed geometry. Source: Alexandria, functional PBE.

The structure in POSCAR format:
```
K2PtCl6
1.0
6.7226 0.0000 0.0000
0.0000 6.7226 0.0000
0.0000 0.0000 13.0942
K Pt Cl
4 2 12
direct
0.0000 0.0000 0.1650
0.0000 0.0000 0.8350
0.5000 0.5000 0.3350
0.5000 0.5000 0.6650
0.0000 0.0000 0.5000
0.5000 0.5000 0.0000
0.1720 0.1720 0.3708
0.1720 0.1720 0.6292
0.2472 0.7528 0.5000
0.2528 0.2528 0.0000
0.3280 0.6720 0.1292
0.3280 0.6720 0.8708
0.6720 0.3280 0.1292
0.6720 0.3280 0.8708
0.7472 0.7472 0.0000
0.7528 0.2472 0.5000
0.8280 0.8280 0.3708
0.8280 0.8280 0.6292
```

Summary:
The density of states at the Fermi level comes out at 0.00 states/eV per atom. As for the crystal system: tetragonal. For the uncorrected formation energy, the calculation gives -1.127 eV/atom.

=====

[9]
Crystalline KPtCl at its relaxed geometry. Source: Alexandria, functional PBE.

The structure in POSCAR format:
```
KPtCl
1.0
3.5370 0.0000 0.0000
-1.7685 3.0631 0.0000
0.0000 0.0000 6.6611
K Pt Cl
1 1 1
direct
0.0000 0.0000 0.0000
0.3333 0.6667 0.3953
0.6667 0.3333 0.6611
```

Summary:
The density of states at the Fermi level comes out at 1.28 states/eV per atom. As for the crystal system: trigonal. For the uncorrected formation energy, the calculation gives 0.089 eV/atom.

=====

[10]
Crystalline KPtCl at its relaxed geometry. Source: Alexandria, functional PBE.

The structure in POSCAR format:
```
KPtCl
1.0
4.3117 0.0000 0.0000
-2.1559 3.7341 0.0000
0.0000 0.0000 9.4603
K Pt Cl
2 2 2
direct
0.0000 0.0000 0.0000
0.0000 0.0000 0.5000
0.3333 0.6667 0.2500
0.6667 0.3333 0.7500
0.3333 0.6667 0.7500
0.6667 0.3333 0.2500
```

Summary:
The density of states at the Fermi level comes out at 0.28 states/eV per atom. As for the crystal system: hexagonal. For the uncorrected formation energy, the calculation gives -0.312 eV/atom.

=====

[11]
Crystalline KPt2Cl at its relaxed geometry. Source: Alexandria, functional PBE.

The structure in POSCAR format:
```
KPt2Cl
1.0
-2.4302 2.4302 3.4305
2.4302 -2.4302 3.4305
2.4302 2.4302 -3.4305
K Pt Cl
1 2 1
direct
0.0000 0.0000 0.0000
0.2500 0.7500 0.5000
0.5000 0.5000 0.0000
0.7500 0.2500 0.5000
```

Summary:
The density of states at the Fermi level comes out at 2.01 states/eV per atom. As for the crystal system: tetragonal. For the uncorrected formation energy, the calculation gives 0.389 eV/atom.

=====

[12]
Crystalline KPt2Cl at its relaxed geometry. Source: Alexandria, functional PBE.

The structure in POSCAR format:
```
KPt2Cl
1.0
3.5106 0.0000 0.0000
0.0000 3.5106 0.0000
0.0000 0.0000 7.6094
K Pt Cl
1 2 1
direct
0.0000 0.0000 0.0000
0.0000 0.0000 0.4617
0.5000 0.5000 0.3657
0.5000 0.5000 0.7820
```

Summary:
The density of states at the Fermi level comes out at 1.02 states/eV per atom. As for the crystal system: tetragonal. For the uncorrected formation energy, the calculation gives -0.244 eV/atom.

=====

Please write out number 9 again, unchanged.
Crystalline KPtCl at its relaxed geometry. Source: Alexandria, functional PBE.

The structure in POSCAR format:
```
KPtCl
1.0
3.5370 0.0000 0.0000
-1.7685 3.0631 0.0000
0.0000 0.0000 6.6611
K Pt Cl
1 1 1
direct
0.0000 0.0000 0.0000
0.3333 0.6667 0.3953
0.6667 0.3333 0.6611
```

Summary:
The density of states at the Fermi level comes out at 1.28 states/eV per atom. As for the crystal system: trigonal. For the uncorrected formation energy, the calculation gives 0.089 eV/atom.